Below is an optimized crystal structure of HPt2CI, with properties calculated at the PBE level.

Computed properties:
Energy in eV/cell: -14.01

Unit cell a=5.0362 b=5.0362 c=4.3097 alpha=90.00 beta=90.00 gamma=90.00
Space group P4/mmm (No. 123)
Symmetry-distinct sites (fractional):
H 0.0000 0.0000 0.0000 (multiplicity 1)
Pt 0.0000 0.5000 0.5000 (multiplicity 2)
C 0.5000 0.5000 0.0000 (multiplicity 1)
I 0.5000 0.5000 0.5000 (multiplicity 1)

Below is an optimized crystal structure of TcPbCl2, with properties calculated at the PBE level.

Computed properties:
Raw formation energy in eV per atom: 0.017

Unit cell a=3.5011 b=3.5011 c=26.0382 alpha=90.00 beta=90.00 gamma=120.00
Space group R3m (No. 160, hexagonal axes)
Symmetry-distinct sites (fractional):
Tc 0.0000 0.0000 0.0000 (multiplicity 3)
Pb 0.0000 0.0000 0.7528 (multiplicity 3)
Cl 0.0000 0.0000 0.2856 (multiplicity 3)
Cl 0.0000 0.0000 0.4986 (multiplicity 3)

Below is an optimized crystal structure of GdScIr4, with properties calculated at the PBE level.

Computed properties:
Energy in eV/cell: -241.42

Unit cell a=7.5138 b=7.5138 c=7.5138 alpha=90.00 beta=90.00 gamma=90.00
Space group F-43m (No. 216)
Symmetry-distinct sites (fractional):
Gd 0.0000 0.0000 0.0000 (multiplicity 4)
Sc 0.2500 0.2500 0.2500 (multiplicity 4)
Ir 0.1247 0.1247 0.6247 (multiplicity 16)

Below is an optimized crystal structure of YCl2F, with properties calculated at the PBE level.

Computed properties:
Raw formation energy in eV per atom: -1.932

Unit cell a=4.4701 b=4.4701 c=17.4045 alpha=90.00 beta=90.00 gamma=90.00
Space group I-42d (No. 122)
Symmetry-distinct sites (fractional):
Y 0.0000 0.0000 0.0000 (multiplicity 4)
Cl 0.2302 0.2500 0.1250 (multiplicity 8)
F 0.0000 0.0000 0.5000 (multiplicity 4)

Below is an optimized crystal structure of RuCSe3, with properties calculated at the PBE level.

Computed properties:
Raw formation energy in eV per atom: 1.307

Unit cell a=4.2835 b=4.2835 c=4.2835 alpha=90.00 beta=90.00 gamma=90.00
Space group Pm-3m (No. 221)
Symmetry-distinct sites (fractional):
Ru 0.0000 0.0000 0.0000 (multiplicity 1)
C 0.5000 0.5000 0.5000 (multiplicity 1)
Se 0.0000 0.5000 0.5000 (multiplicity 3)

Below is an optimized crystal structure of Rb3HoS3, with properties calculated at the PBE level.

Computed properties:
Raw formation energy in eV per atom: -1.449

Unit cell a=9.1485 b=14.2167 c=8.1951 alpha=90.00 beta=100.21 gamma=90.00
Space group C2/m (No. 12)
Symmetry-distinct sites (fractional):
Rb 0.0000 0.1842 0.0000 (multiplicity 4)
Rb 0.0000 0.2511 0.5000 (multiplicity 4)
Rb 0.1201 0.5000 0.8635 (multiplicity 4)
Ho 0.1789 0.0000 0.6417 (multiplicity 4)
S 0.0977 0.0000 0.3149 (multiplicity 4)
S 0.1895 0.3537 0.2277 (multiplicity 8)

Below is an optimized crystal structure of SrMo2Br, with properties calculated at the PBE level.

Computed properties:
Raw formation energy in eV per atom: 1.101

Unit cell a=3.7969 b=3.7969 c=6.5283 alpha=90.00 beta=90.00 gamma=90.00
Space group P4/mmm (No. 123)
Symmetry-distinct sites (fractional):
Sr 0.0000 0.0000 0.0000 (multiplicity 1)
Mo 0.5000 0.5000 0.3296 (multiplicity 2)
Br 0.0000 0.0000 0.5000 (multiplicity 1)

Below is an optimized crystal structure of Li2Mg3Cd8, with properties calculated at the PBE level.

Computed properties:
Energy in eV/cell: -33.28

Unit cell a=7.4227 b=16.3959 c=4.7120 alpha=90.00 beta=90.00 gamma=90.00
Space group Cmmm (No. 65)
Symmetry-distinct sites (fractional):
Li 0.0000 0.2320 0.0000 (multiplicity 4)
Mg 0.0000 0.0000 0.0000 (multiplicity 2)
Mg 0.2109 0.5000 0.5000 (multiplicity 4)
Cd 0.0000 0.1381 0.5000 (multiplicity 4)
Cd 0.0000 0.3229 0.5000 (multiplicity 4)
Cd 0.2053 0.3854 0.0000 (multiplicity 8)

Q: Which formula does entry 6 have?
A: Rb3HoS3